Computed, not measured: Sb3Ir at its PBEsol-relaxed geometry at the SCAN level of DFT.

The value obtained for the total magnetic moment is 0.00 μB/f.u. Its energy relative to the elements, uncorrected is 169 meV per atom. The density of states at the Fermi level comes out at 2.75 states/eV per cell.

The space group is P-6m2 (No. 187) and the conventional cell measures 3.4959, 3.4959 and 9.1271 Å, with angles of 90.00, 90.00 and 120.00 degrees. The inequivalent atoms are Sb at (0.0000, 0.0000, 0.0000), Sb at (0.3333, 0.6667, 0.3084) and Ir at (0.0000, 0.0000, 0.5000).

***

Computed, not measured: Sb3Ir at its PBEsol-relaxed geometry at the SCAN level of DFT.

The value obtained for the total magnetic moment is 0.00 μB/f.u. Its energy relative to the elements, uncorrected is 138 meV per atom. The density of states at the Fermi level comes out at 4.82 states/eV per cell.

The space group is Immm (No. 71) and the conventional cell measures 3.449, 4.555 and 11.856 Å, with angles of 90.00, 90.00 and 90.00 degrees. The inequivalent atoms are Sb at (0.000, 0.000, 0.000), Sb at (0.000, 0.500, 0.180) and Ir at (0.000, 0.000, 0.500).

***

Computed, not measured: Sb2Ir at its PBEsol-relaxed geometry at the SCAN level of DFT.

The value obtained for the total magnetic moment is 0.00 μB/f.u. Its energy relative to the elements, uncorrected is -484 meV per atom.

The space group is P2_1/c (No. 14) and the conventional cell measures 6.604, 6.560 and 6.713 Å, with angles of 90.00, 115.13 and 90.00 degrees. The inequivalent atoms are Sb at (0.149, 0.135, 0.380), Sb at (0.344, 0.638, 0.680) and Ir at (0.272, 0.002, 0.793).

***

Computed, not measured: Sb4Ir3 at its PBEsol-relaxed geometry at the SCAN level of DFT.

The value obtained for the total magnetic moment is 1.98 μB/f.u. Its energy relative to the elements, uncorrected is 611 meV per atom. The density of states at the Fermi level comes out at 5.18 states/eV per cell.

The space group is P6/mmm (No. 191) and the conventional cell measures 5.2884, 5.2884 and 5.8546 Å, with angles of 90.00, 90.00 and 120.00 degrees. The inequivalent atoms are Sb at (0.0000, 0.0000, 0.2392), Sb at (0.3333, 0.6667, 0.5000) and Ir at (0.0000, 0.5000, 0.0000).

***

Computed, not measured: SbIr2 at its PBEsol-relaxed geometry at the SCAN level of DFT.

The value obtained for the total magnetic moment is 0.00 μB/f.u. Its energy relative to the elements, uncorrected is 379 meV per atom. The density of states at the Fermi level comes out at 3.23 states/eV per cell.

The space group is P4/mmm (No. 123) and the conventional cell measures 3.793, 3.793 and 3.872 Å, with angles of 90.00, 90.00 and 90.00 degrees. The inequivalent atoms are Sb at (0.000, 0.000, 0.000) and Ir at (0.000, 0.500, 0.500).

***

Computed, not measured: SbIr3 at its PBEsol-relaxed geometry at the SCAN level of DFT.

The value obtained for the total magnetic moment is 0.00 μB/f.u. Its energy relative to the elements, uncorrected is 218 meV per atom. The density of states at the Fermi level comes out at 9.80 states/eV per cell.

The space group is Cmcm (No. 63) and the conventional cell measures 6.591, 8.762 and 4.436 Å, with angles of 90.00, 90.00 and 90.00 degrees. The inequivalent atoms are Sb at (0.000, 0.139, 0.250), Ir at (0.000, 0.300, 0.750) and Ir at (0.204, 0.423, 0.250).

***

Computed, not measured: SbIr3 at its PBEsol-relaxed geometry at the SCAN level of DFT.

The value obtained for the total magnetic moment is 0.00 μB/f.u. Its energy relative to the elements, uncorrected is 394 meV per atom. The density of states at the Fermi level comes out at 2.44 states/eV per cell.

The space group is P4/mmm (No. 123) and the conventional cell measures 4.716, 4.716 and 2.822 Å, with angles of 90.00, 90.00 and 90.00 degrees. The inequivalent atoms are Sb at (0.000, 0.000, 0.000), Ir at (0.000, 0.500, 0.500) and Ir at (0.500, 0.500, 0.000).

***

Computed, not measured: Sb3Ir at its PBEsol-relaxed geometry at the SCAN level of DFT.

The value obtained for the total magnetic moment is 0.00 μB/f.u. Its energy relative to the elements, uncorrected is 734 meV per atom. The density of states at the Fermi level comes out at 1.65 states/eV per cell.

The space group is Pm-3m (No. 221) and the conventional cell measures 5.165, 5.165 and 5.165 Å, with angles of 90.00, 90.00 and 90.00 degrees. The inequivalent atoms are Sb at (0.000, 0.000, 0.500) and Ir at (0.000, 0.000, 0.000).

***

Computed, not measured: SbIr3 at its PBEsol-relaxed geometry at the SCAN level of DFT.

The value obtained for the total magnetic moment is 0.00 μB/f.u. Its energy relative to the elements, uncorrected is 422 meV per atom. The density of states at the Fermi level comes out at 4.97 states/eV per cell.

The space group is Immm (No. 71) and the conventional cell measures 2.802, 4.758 and 9.429 Å, with angles of 90.00, 90.00 and 90.00 degrees. The inequivalent atoms are Sb at (0.000, 0.000, 0.000), Ir at (0.000, 0.000, 0.500) and Ir at (0.000, 0.500, 0.251).

***

Computed, not measured: Sb3Ir at its PBEsol-relaxed geometry at the SCAN level of DFT.

The value obtained for the total magnetic moment is 0.00 μB/f.u. Its energy relative to the elements, uncorrected is -448 meV per atom.

The space group is Im-3 (No. 204) and the conventional cell measures 9.276, 9.276 and 9.276 Å, with angles of 90.00, 90.00 and 90.00 degrees. The inequivalent atoms are Sb at (0.000, 0.154, 0.340) and Ir at (0.250, 0.250, 0.250).

***

Computed, not measured: Sb3Ir at its PBEsol-relaxed geometry at the SCAN level of DFT.

The value obtained for the total magnetic moment is 0.00 μB/f.u. Its energy relative to the elements, uncorrected is 108 meV per atom. The density of states at the Fermi level comes out at 1.94 states/eV per cell.

The space group is Pmm2 (No. 25) and the conventional cell measures 3.065, 3.276 and 9.426 Å, with angles of 90.00, 90.00 and 90.00 degrees. The inequivalent atoms are Sb at (0.000, 0.000, 0.000), Sb at (0.000, 0.500, 0.307), Sb at (0.500, 0.500, 0.694) and Ir at (0.500, 0.000, 0.469).

***

Computed, not measured: Sb3Ir at its PBEsol-relaxed geometry at the SCAN level of DFT.

The value obtained for the total magnetic moment is 0.00 μB/f.u. Its energy relative to the elements, uncorrected is 171 meV per atom. The density of states at the Fermi level comes out at 1.92 states/eV per cell.

The space group is P4/mmm (No. 123) and the conventional cell measures 3.150, 3.150 and 9.144 Å, with angles of 90.00, 90.00 and 90.00 degrees. The inequivalent atoms are Sb at (0.000, 0.000, 0.000), Sb at (0.500, 0.500, 0.310) and Ir at (0.000, 0.000, 0.500).

***

Computed, not measured: ScSb4Ir at its PBEsol-relaxed geometry at the SCAN level of DFT.

The value obtained for the total magnetic moment is 0.00 μB/f.u. Its energy relative to the elements, uncorrected is 710 meV per atom. The density of states at the Fermi level comes out at 18.35 states/eV per cell.

The space group is F-43m (No. 216) and the conventional cell measures 8.348, 8.348 and 8.348 Å, with angles of 90.00, 90.00 and 90.00 degrees. The inequivalent atoms are Sc at (0.000, 0.000, 0.000), Sb at (0.125, 0.125, 0.625) and Ir at (0.250, 0.250, 0.250).

***

Computed, not measured: Sc2SbIr at its PBEsol-relaxed geometry at the SCAN level of DFT.

The value obtained for the total magnetic moment is 0.00 μB/f.u. Its energy relative to the elements, uncorrected is -901 meV per atom. The density of states at the Fermi level comes out at 2.79 states/eV per cell.

The space group is P4/mmm (No. 123) and the conventional cell measures 3.153, 3.153 and 7.818 Å, with angles of 90.00, 90.00 and 90.00 degrees. The inequivalent atoms are Sc at (0.000, 0.000, 0.211), Sb at (0.500, 0.500, 0.500) and Ir at (0.500, 0.500, 0.000).